# 1
# GGA-PBE Cs2HfHgF6, optimized geometry
# - Spin magnetization: 0.00 Bohr magnetons per cell
# - E_form (uncorrected): -3.083 eV per atom
# - ρ: 4.4 g cm⁻³
data_Cs2HfHgF6
_chemical_formula_sum 'Cs4 Hf2 Hg2 F12'
_cell_length_a 16.0610
_cell_length_b 16.0610
_cell_length_c 16.0610
_cell_angle_alpha 23.27
_cell_angle_beta 23.27
_cell_angle_gamma 23.27
_space_group_name_H-M_alt 'P 1'
_space_group_IT_number 1
_space_group_name_Hall 'P 1'
loop_
_atom_site_label
_atom_site_type_symbol
_atom_site_fract_x
_atom_site_fract_y
_atom_site_fract_z
Cs1 Cs 0.1372 0.1372 0.1372
Cs2 Cs 0.3031 0.3031 0.3031
Cs3 Cs 0.6969 0.6969 0.6969
Cs4 Cs 0.8628 0.8628 0.8628
Hf1 Hf 0.0000 0.0000 0.0000
Hf2 Hf 0.5000 0.5000 0.5000
Hg1 Hg 0.4123 0.4123 0.4123
Hg2 Hg 0.5877 0.5877 0.5877
F1 F 0.1724 0.1724 0.7273
F2 F 0.1724 0.7273 0.1724
F3 F 0.1779 0.6252 0.6252
F4 F 0.2727 0.8276 0.8276
F5 F 0.3748 0.3748 0.8221
F6 F 0.3748 0.8221 0.3748
F7 F 0.6252 0.1779 0.6252
F8 F 0.6252 0.6252 0.1779
F9 F 0.7273 0.1724 0.1724
F10 F 0.8221 0.3748 0.3748
F11 F 0.8276 0.2727 0.8276
F12 F 0.8276 0.8276 0.2727


# 2
# GGA-PBE Cs2HfI2F4, optimized geometry
# - Spin magnetization: 0.00 Bohr magnetons per cell
# - E_form (uncorrected): -2.716 eV per atom
# - ρ: 4.4 g cm⁻³
data_Cs2HfI2F4
_chemical_formula_sum 'Cs2 Hf1 I2 F4'
_cell_length_a 7.3288
_cell_length_b 7.3288
_cell_length_c 7.3288
_cell_angle_alpha 116.45
_cell_angle_beta 116.45
_cell_angle_gamma 96.27
_space_group_name_H-M_alt 'P 1'
_space_group_IT_number 1
_space_group_name_Hall 'P 1'
loop_
_atom_site_label
_atom_site_type_symbol
_atom_site_fract_x
_atom_site_fract_y
_atom_site_fract_z
Cs1 Cs 0.2500 0.7500 0.5000
Cs2 Cs 0.7500 0.2500 0.5000
Hf1 Hf 0.0000 0.0000 0.0000
I1 I 0.2984 0.2984 0.0000
I2 I 0.7016 0.7016 0.0000
F1 F 0.1821 0.1821 0.3641
F2 F 0.1821 0.8179 0.0000
F3 F 0.8179 0.1821 0.0000
F4 F 0.8179 0.8179 0.6359


# 3
# GGA-PBE CsHfInF6, optimized geometry
# - Spin magnetization: 0.00 Bohr magnetons per cell
# - E_form (uncorrected): -3.193 eV per atom
# - ρ: 4.2 g cm⁻³
data_CsHfInF6
_chemical_formula_sum 'Cs1 Hf1 In1 F6'
_cell_length_a 6.6669
_cell_length_b 6.6669
_cell_length_c 5.5998
_cell_angle_alpha 90.06
_cell_angle_beta 90.06
_cell_angle_gamma 120.43
_space_group_name_H-M_alt 'P 1'
_space_group_IT_number 1
_space_group_name_Hall 'P 1'
loop_
_atom_site_label
_atom_site_type_symbol
_atom_site_fract_x
_atom_site_fract_y
_atom_site_fract_z
Cs1 Cs 0.0000 0.0000 0.0000
Hf1 Hf 0.3331 0.6669 0.5000
In1 In 0.6660 0.3340 0.5000
F1 F 0.0756 0.4156 0.3010
F2 F 0.0801 0.6621 0.7017
F3 F 0.3379 0.9199 0.2983
F4 F 0.3394 0.4204 0.7028
F5 F 0.5796 0.6606 0.2972
F6 F 0.5844 0.9244 0.6990


# 4
# GGA-PBE Cs2HfInF6, optimized geometry
# - Spin magnetization: 1.01 Bohr magnetons per cell
# - E_form (uncorrected): -2.908 eV per atom
# - ρ: 4.3 g cm⁻³
data_Cs2HfInF6
_chemical_formula_sum 'Cs2 Hf1 In1 F6'
_cell_length_a 7.5319
_cell_length_b 7.5319
_cell_length_c 7.5319
_cell_angle_alpha 127.36
_cell_angle_beta 127.36
_cell_angle_gamma 77.66
_space_group_name_H-M_alt 'P 1'
_space_group_IT_number 1
_space_group_name_Hall 'P 1'
loop_
_atom_site_label
_atom_site_type_symbol
_atom_site_fract_x
_atom_site_fract_y
_atom_site_fract_z
Cs1 Cs 0.2500 0.7500 0.5000
Cs2 Cs 0.7500 0.2500 0.5000
Hf1 Hf 0.0000 0.0000 0.0000
In1 In 0.5000 0.5000 0.0000
F1 F 0.1714 0.1714 0.0000
F2 F 0.2127 0.2127 0.4253
F3 F 0.2127 0.7873 0.0000
F4 F 0.7873 0.2127 0.0000
F5 F 0.7873 0.7873 0.5747
F6 F 0.8286 0.8286 0.0000


# 5
# GGA-PBE Cs2KHfF6, optimized geometry
# - Spin magnetization: 0.79 Bohr magnetons per cell
# - E_form (uncorrected): -3.051 eV per atom
# - ρ: 4.1 g cm⁻³
data_Cs2KHfF6
_chemical_formula_sum 'Cs4 K2 Hf2 F12'
_cell_length_a 11.6443
_cell_length_b 11.6443
_cell_length_c 11.6443
_cell_angle_alpha 35.60
_cell_angle_beta 35.60
_cell_angle_gamma 35.60
_space_group_name_H-M_alt 'P 1'
_space_group_IT_number 1
_space_group_name_Hall 'P 1'
loop_
_atom_site_label
_atom_site_type_symbol
_atom_site_fract_x
_atom_site_fract_y
_atom_site_fract_z
Cs1 Cs 0.1296 0.1296 0.1296
Cs2 Cs 0.2596 0.2596 0.2596
Cs3 Cs 0.7404 0.7404 0.7404
Cs4 Cs 0.8704 0.8704 0.8704
K1 K 0.3924 0.3924 0.3924
K2 K 0.6076 0.6076 0.6076
Hf1 Hf 0.0000 0.0000 0.0000
Hf2 Hf 0.5000 0.5000 0.5000
F1 F 0.1677 0.1677 0.7785
F2 F 0.1677 0.7785 0.1677
F3 F 0.1713 0.6177 0.6177
F4 F 0.2215 0.8323 0.8323
F5 F 0.3823 0.3823 0.8287
F6 F 0.3823 0.8287 0.3823
F7 F 0.6177 0.1713 0.6177
F8 F 0.6177 0.6177 0.1713
F9 F 0.7785 0.1677 0.1677
F10 F 0.8287 0.3823 0.3823
F11 F 0.8323 0.2215 0.8323
F12 F 0.8323 0.8323 0.2215


# 6
# GGA-PBE CsLiHfF6, optimized geometry
# - Spin magnetization: 0.00 Bohr magnetons per cell
# - E_form (uncorrected): -3.488 eV per atom
# - ρ: 4.2 g cm⁻³
data_CsLiHfF6
_chemical_formula_sum 'Cs2 Li2 Hf2 F12'
_cell_length_a 5.5404
_cell_length_b 5.5404
_cell_length_c 12.9365
_cell_angle_alpha 90.00
_cell_angle_beta 90.00
_cell_angle_gamma 120.00
_space_group_name_H-M_alt 'P 1'
_space_group_IT_number 1
_space_group_name_Hall 'P 1'
loop_
_atom_site_label
_atom_site_type_symbol
_atom_site_fract_x
_atom_site_fract_y
_atom_site_fract_z
Cs1 Cs 0.0000 0.0000 0.0000
Cs2 Cs 0.0000 0.0000 0.5000
Li1 Li 0.3333 0.6667 0.2500
Li2 Li 0.6667 0.3333 0.7500
Hf1 Hf 0.3333 0.6667 0.7500
Hf2 Hf 0.6667 0.3333 0.2500
F1 F 0.0113 0.3986 0.6614
F2 F 0.0113 0.6126 0.8386
F3 F 0.3874 0.3986 0.8386
F4 F 0.3874 0.9887 0.6614
F5 F 0.3986 0.0113 0.1614
F6 F 0.3986 0.3874 0.3386
F7 F 0.6014 0.6126 0.6614
F8 F 0.6014 0.9887 0.8386
F9 F 0.6126 0.0113 0.3386
F10 F 0.6126 0.6014 0.1614
F11 F 0.9887 0.3874 0.1614
F12 F 0.9887 0.6014 0.3386


# 7
# GGA-PBE CsHfN2F, optimized geometry
# - Spin magnetization: 1.35 Bohr magnetons per cell
# - E_form (uncorrected): -0.957 eV per atom
# - ρ: 7.1 g cm⁻³
data_CsHfN2F
_chemical_formula_sum 'Cs1 Hf1 N2 F1'
_cell_length_a 4.2827
_cell_length_b 4.2827
_cell_length_c 4.5973
_cell_angle_alpha 90.00
_cell_angle_beta 90.00
_cell_angle_gamma 90.00
_space_group_name_H-M_alt 'P 1'
_space_group_IT_number 1
_space_group_name_Hall 'P 1'
loop_
_atom_site_label
_atom_site_type_symbol
_atom_site_fract_x
_atom_site_fract_y
_atom_site_fract_z
Cs1 Cs 0.0000 0.0000 0.0000
Hf1 Hf 0.5000 0.5000 0.5000
N1 N 0.0000 0.5000 0.5000
N2 N 0.5000 0.0000 0.5000
F1 F 0.5000 0.5000 0.0000


# 8
# GGA-PBE CsHfNF2, optimized geometry
# - Spin magnetization: 0.00 Bohr magnetons per cell
# - E_form (uncorrected): -2.159 eV per atom
# - ρ: 7.2 g cm⁻³
data_CsHfNF2
_chemical_formula_sum 'Cs1 Hf1 N1 F2'
_cell_length_a 4.4962
_cell_length_b 4.4962
_cell_length_c 4.1546
_cell_angle_alpha 90.00
_cell_angle_beta 90.00
_cell_angle_gamma 90.00
_space_group_name_H-M_alt 'P 1'
_space_group_IT_number 1
_space_group_name_Hall 'P 1'
loop_
_atom_site_label
_atom_site_type_symbol
_atom_site_fract_x
_atom_site_fract_y
_atom_site_fract_z
Cs1 Cs 0.0000 0.0000 0.0000
Hf1 Hf 0.5000 0.5000 0.5000
N1 N 0.5000 0.5000 0.0000
F1 F 0.0000 0.5000 0.5000
F2 F 0.5000 0.0000 0.5000


# 9
# GGA-PBE CsHfNF2, optimized geometry
# - Spin magnetization: 1.44 Bohr magnetons per cell
# - E_form (uncorrected): 0.620 eV per atom
# - ρ: 5.4 g cm⁻³
data_CsHfNF2
_chemical_formula_sum 'Cs1 Hf1 N1 F2'
_cell_length_a 5.0000
_cell_length_b 5.0000
_cell_length_c 4.4371
_cell_angle_alpha 90.00
_cell_angle_beta 90.00
_cell_angle_gamma 90.00
_space_group_name_H-M_alt 'P 1'
_space_group_IT_number 1
_space_group_name_Hall 'P 1'
loop_
_atom_site_label
_atom_site_type_symbol
_atom_site_fract_x
_atom_site_fract_y
_atom_site_fract_z
Cs1 Cs 0.0000 0.0000 0.0000
Hf1 Hf 0.5000 0.5000 0.5000
N1 N 0.0000 0.0000 0.5000
F1 F 0.0000 0.5000 0.0000
F2 F 0.5000 0.0000 0.0000


# 10
# GGA-PBE CsHfN2F, optimized geometry
# - Spin magnetization: 0.81 Bohr magnetons per cell
# - E_form (uncorrected): 1.710 eV per atom
# - ρ: 6.4 g cm⁻³
data_CsHfN2F
_chemical_formula_sum 'Cs1 Hf1 N2 F1'
_cell_length_a 4.4456
_cell_length_b 4.4456
_cell_length_c 4.7209
_cell_angle_alpha 90.00
_cell_angle_beta 90.00
_cell_angle_gamma 90.00
_space_group_name_H-M_alt 'P 1'
_space_group_IT_number 1
_space_group_name_Hall 'P 1'
loop_
_atom_site_label
_atom_site_type_symbol
_atom_site_fract_x
_atom_site_fract_y
_atom_site_fract_z
Cs1 Cs 0.0000 0.0000 0.0000
Hf1 Hf 0.5000 0.5000 0.5000
N1 N 0.0000 0.5000 0.0000
N2 N 0.5000 0.0000 0.0000
F1 F 0.0000 0.0000 0.5000


# 11
# GGA-PBE Cs2HfNbF6, optimized geometry
# - Spin magnetization: 1.28 Bohr magnetons per cell
# - E_form (uncorrected): -2.338 eV per atom
# - ρ: 5.9 g cm⁻³
data_Cs2HfNbF6
_chemical_formula_sum 'Cs2 Hf1 Nb1 F6'
_cell_length_a 6.3793
_cell_length_b 6.3793
_cell_length_c 6.3793
_cell_angle_alpha 60.00
_cell_angle_beta 60.00
_cell_angle_gamma 60.00
_space_group_name_H-M_alt 'P 1'
_space_group_IT_number 1
_space_group_name_Hall 'P 1'
loop_
_atom_site_label
_atom_site_type_symbol
_atom_site_fract_x
_atom_site_fract_y
_atom_site_fract_z
Cs1 Cs 0.2500 0.2500 0.2500
Cs2 Cs 0.7500 0.7500 0.7500
Hf1 Hf 0.0000 0.0000 0.0000
Nb1 Nb 0.5000 0.5000 0.5000
F1 F 0.2370 0.2370 0.7630
F2 F 0.2370 0.7630 0.2370
F3 F 0.2370 0.7630 0.7630
F4 F 0.7630 0.2370 0.2370
F5 F 0.7630 0.2370 0.7630
F6 F 0.7630 0.7630 0.2370